Entry 1:
The following is a DFT calculation (GGA-PBE) of a relaxed La2Cu3Ge4Ru crystal.

Unit cell a=4.2975 b=4.2975 c=10.0680 alpha=90.00 beta=90.00 gamma=90.00
Atoms (fractional coordinates):
La 0.0000 0.5000 0.2488
La 0.5000 0.0000 0.7512
Cu 0.0000 0.5000 0.8724
Cu 0.5000 0.0000 0.1276
Cu 0.5000 0.5000 0.5000
Ge 0.0000 0.0000 0.0000
Ge 0.0000 0.5000 0.6274
Ge 0.5000 0.0000 0.3726
Ge 0.5000 0.5000 0.0000
Ru 0.0000 0.0000 0.5000

Summary:
energy relative to the elements: -0.520 eV/atom
calculated total energy: -55.09 eV per cell

=====

Entry 2:
The following is a DFT calculation (GGA-PBE) of a relaxed LaCuGe2Sb crystal.

Unit cell a=5.6721 b=5.6721 c=6.0348 alpha=90.00 beta=90.00 gamma=90.00
Atoms (fractional coordinates):
La 0.0000 0.0000 0.0000
Cu 0.5000 0.5000 0.5000
Ge 0.0000 0.5000 0.0000
Ge 0.5000 0.0000 0.0000
Sb 0.0000 0.0000 0.5000

Summary:
formation energy from raw total energies: 1.133 eV/atom
calculated total energy: -16.72 eV per cell

=====

Entry 3:
The following is a DFT calculation (GGA-PBE) of a relaxed LaScCu2Ge2 crystal.

Unit cell a=4.2641 b=4.2641 c=7.3138 alpha=90.00 beta=90.00 gamma=120.00
Atoms (fractional coordinates):
La 0.0000 0.0000 0.0000
Sc 0.0000 0.0000 0.5000
Cu 0.3333 0.6667 0.6829
Cu 0.6667 0.3333 0.3171
Ge 0.3333 0.6667 0.2784
Ge 0.6667 0.3333 0.7216

Summary:
energy relative to the elements: -0.676 eV/atom
calculated total energy: -32.74 eV per cell

=====

Entry 4:
The following is a DFT calculation (GGA-PBE) of a relaxed LaScCuGe crystal.

Unit cell a=4.9910 b=4.9910 c=4.9910 alpha=60.00 beta=60.00 gamma=60.00
Atoms (fractional coordinates):
La 0.0000 0.0000 0.0000
Sc 0.5000 0.5000 0.5000
Cu 0.7500 0.7500 0.7500
Ge 0.2500 0.2500 0.2500

Summary:
energy relative to the elements: -0.435 eV/atom
calculated total energy: -21.71 eV per cell

=====

Number 1: Fermi-level density of states 0.644 states/eV/atom. Number 2: Fermi-level density of states 0.939 states/eV/atom. Number 3: Fermi-level density of states 0.372 states/eV/atom. Number 4: Fermi-level density of states 0.973 states/eV/atom.